[1]
The following is a PBE-GGA calculation of a relaxed Fe2ReRh crystal, from the Alexandria database.

Lattice parameters (Å, degrees): 5.2395 8.5336 2.6179 90.00 112.90 90.00
Last column: nearest neighbours and their distance in Å.
Space group C2/m (No. 12)
Symmetry-distinct sites (fractional):
1 Fe 0.2500 0.2500 0.0000 [4 per cell]  2 Re 2.58, 2 Rh 2.58, 4 Fe 2.62
2 Re 0.0000 0.0000 0.5000 [2 per cell]  4 Fe 2.58, 2 Re 2.62, 2 Rh 2.62
3 Rh 0.0000 0.5000 0.5000 [2 per cell]  4 Fe 2.58, 2 Rh 2.62, 2 Re 2.62

Computed properties:
Size of the total moment ... 5.5 μB per formula unit
Calculated total energy ... -9.020 eV per atom
ΔH_f (0 K) ... 161 meV/atom



[2]
The following is a PBE-GGA calculation of a relaxed Fe2ReRh5 crystal, from the Alexandria database.

Lattice parameters (Å, degrees): 5.3682 10.7294 3.8373 90.00 90.00 90.00
Last column: nearest neighbours and their distance in Å.
Space group Pbam (No. 55)
Symmetry-distinct sites (fractional):
1 Fe 0.2470 0.1243 0.0000 [4 per cell]  10 Rh 2.63-2.75, 2 Re 2.70
2 Re 0.0000 0.5000 0.5000 [2 per cell]  8 Rh 2.63-2.68, 4 Fe 2.70
3 Rh 0.0000 0.0000 0.5000 [2 per cell]  2 Re 2.68, 4 Fe 2.69, 6 Rh 2.70-2.73
4 Rh 0.0103 0.7454 0.5000 [4 per cell]  1 Re 2.63, 4 Fe 2.66-2.75, 7 Rh 2.69-2.75
5 Rh 0.2401 0.3793 0.0000 [4 per cell]  4 Fe 2.63-2.74, 2 Re 2.65, 6 Rh 2.70-2.75

Computed properties:
Size of the total moment ... 5.7 μB per formula unit
Calculated total energy ... -8.307 eV per atom
ΔH_f (0 K) ... -41 meV/atom



> What is the size of the total moment in the second record?

5.7 μB per formula unit